No. 1
Material: KTl2In
Method: DFT, meta-GGA SCAN
State: single point on PBEsol structure

abc: 3.335 5.257 7.433
angles: 96.76 90.00 108.49
Atoms (fractional coordinates):
Tl  0.744  0.488  0.705
Tl  0.256  0.512  0.295
K  0.500  0.000  0.000
In  0.000  0.000  0.500

Computed properties:
Energy: -46.74 eV per atom
ρ: 7.6 g/cm3
DFT formation energy: -0.14 eV per atom


No. 2
Material: In2TcRh
Method: DFT, meta-GGA SCAN
State: single point on PBEsol structure

abc: 3.000 3.000 8.806
angles: 80.19 80.19 60.00
Atoms (fractional coordinates):
In  0.248  0.248  0.255
In  0.752  0.752  0.745
Rh  0.500  0.500  0.500
Tc  0.000  0.000  0.000

Computed properties:
Energy: -33.75 eV per atom
ρ: 10.6 g/cm3
DFT formation energy: 0.15 eV per atom


No. 3
Material: Li2TeMo
Method: DFT, meta-GGA SCAN
State: single point on PBEsol structure

abc: 3.284 3.284 8.797
angles: 79.24 79.24 60.00
Each line ends with the local moment (μB).
Atoms (fractional coordinates):
Mo  0.504  0.504  0.489  0.57
Te  0.241  0.241  0.277  -0.02
Li  0.000  0.000  0.001  -0.02
Li  0.756  0.756  0.732  0.01

Computed properties:
Energy: -18.98 eV per atom
ρ: 4.9 g/cm3
Energy relative to the elements, uncorrected: 245 meV/atom


No. 4
Material: CdMoRu2
Method: DFT, meta-GGA SCAN
State: single point on PBEsol structure

abc: 2.722 2.722 9.051
angles: 90.00 90.00 114.35
Atoms (fractional coordinates):
Cd  0.500  0.500  0.500
Mo  0.500  0.500  0.000
Ru  0.000  0.000  0.233
Ru  0.000  0.000  0.767

Computed properties:
Energy: -33.42 eV per atom
ρ: 11.2 g/cm3
DFT formation energy: 0.32 eV per atom


No. 5
Material: LaAsW
Method: DFT, meta-GGA SCAN
State: single point on PBEsol structure

abc: 3.321 3.321 6.066
angles: 105.89 105.89 90.00
Atoms (fractional coordinates):
As  0.035  0.035  0.070
W  0.631  0.631  0.263
La  0.333  0.333  0.667

Computed properties:
Energy: -44.43 eV per atom
ρ: 10.7 g/cm3
DFT formation energy: -0.10 eV per atom


No. 6
Material: MgRuSe
Method: DFT, meta-GGA SCAN
State: single point on PBEsol structure

abc: 3.268 3.268 5.829
angles: 90.00 90.00 120.00
Atoms (fractional coordinates):
Mg  0.000  0.000  0.980
Ru  0.333  0.667  0.634
Se  0.667  0.333  0.385

Computed properties:
Energy: -20.16 eV per atom
ρ: 6.3 g/cm3
Energy relative to the elements, uncorrected: -196 meV/atom


No. 7
Material: CaBe2Si2
Method: DFT, meta-GGA SCAN
State: single point on PBEsol structure

abc: 3.922 3.922 5.538
angles: 110.74 110.74 90.00
Atoms (fractional coordinates):
Be  0.250  0.750  0.500
Be  0.750  0.250  0.500
Ca  0.000  0.000  0.000
Si  0.376  0.376  0.753
Si  0.624  0.624  0.247

Computed properties:
Energy: -7.93 eV per atom
ρ: 2.6 g/cm3
Energy relative to the elements, uncorrected: -253 meV/atom


No. 8
Material: La2BiPbO
Method: DFT, meta-GGA SCAN
State: single point on PBEsol structure

abc: 4.943 4.943 5.234
angles: 90.00 90.00 90.00
Atoms (fractional coordinates):
Pb  0.000  0.000  0.500
Bi  0.500  0.500  0.500
O  0.000  0.000  0.000
La  0.000  0.500  0.000
La  0.500  0.000  0.000

Computed properties:
Energy: -50.75 eV per atom
ρ: 9.2 g/cm3
Energy relative to the elements, uncorrected: -1393 meV/atom


No. 9
Material: Zr2B2Ir
Method: DFT, meta-GGA SCAN
State: single point on PBEsol structure

abc: 3.622 5.982 5.982
angles: 90.00 90.00 90.00
Atoms (fractional coordinates):
B  0.000  0.390  0.890
B  0.000  0.890  0.610
B  0.000  0.610  0.110
B  0.000  0.110  0.390
Ir  0.000  0.000  0.000
Ir  0.000  0.500  0.500
Zr  0.500  0.179  0.679
Zr  0.500  0.679  0.821
Zr  0.500  0.821  0.321
Zr  0.500  0.321  0.179

Computed properties:
Energy: -30.46 eV per atom
ρ: 10.2 g/cm3
DFT formation energy: -0.99 eV per atom


No. 10
Material: CaSbOs2
Method: DFT, meta-GGA SCAN
State: single point on PBEsol structure

abc: 3.139 4.898 5.498
angles: 116.45 106.59 90.00
Atoms (fractional coordinates):
Sb  0.000  0.500  0.000
Ca  0.500  0.000  0.000
Os  0.727  0.727  0.453
Os  0.273  0.273  0.547

Computed properties:
Energy: -47.02 eV per atom
ρ: 12.6 g/cm3
Energy relative to the elements, uncorrected: 654 meV/atom


No. 11
Material: Pb5Au3
Method: DFT, meta-GGA SCAN
State: single point on PBEsol structure

abc: 4.871 6.397 6.397
angles: 101.90 90.00 90.00
Atoms (fractional coordinates):
Au  0.000  0.500  0.500
Au  0.500  0.788  0.212
Au  0.500  0.212  0.788
Pb  0.000  0.000  0.000
Pb  0.000  0.000  0.500
Pb  0.000  0.500  0.000
Pb  0.500  0.291  0.291
Pb  0.500  0.709  0.709

Computed properties:
Energy: -73.27 eV per atom
ρ: 13.9 g/cm3
DFT formation energy: 0.03 eV per atom


No. 12
Material: CeBr3
Method: DFT, meta-GGA SCAN
State: single point on PBEsol structure

abc: 4.339 7.914 7.914
angles: 120.00 90.00 90.00
Each line ends with the local moment (μB).
Atoms (fractional coordinates):
Ce  0.750  0.667  0.333  0.96
Ce  0.250  0.333  0.667  0.96
Br  0.250  0.386  0.086  -0.02
Br  0.750  0.614  0.914  -0.02
Br  0.750  0.300  0.386  -0.02
Br  0.250  0.700  0.614  -0.02
Br  0.750  0.086  0.700  -0.02
Br  0.250  0.914  0.300  -0.02

Computed properties:
Energy: -27.83 eV per atom
ρ: 5.4 g/cm3
Energy relative to the elements, uncorrected: -2093 meV/atom


- ρ of number 7 (CaBe2Si2)?
  2.6 g/cm3